First-principles (GGA-PBE) data for a relaxed structure of PmYPtO6, as listed in Alexandria.

As for the uncorrected formation energy: -1.99 eV/atom. For the uncorrected energy, the calculation gives -7.208 eV per atom. The spin magnetization is 3.4 μB per cell.

abc: 5.5622 5.5622 9.7976
angles: 90.00 90.00 120.00
Each line ends with the local moment (μB).
Fractional positions:
Pm 0.0000 0.0000 0.0000  0.00
Pm 0.0000 0.0000 0.5000  0.00
Y 0.3333 0.6667 0.2500  0.01
Y 0.6667 0.3333 0.7500  0.01
Pt 0.6667 0.3333 0.2500  0.56
Pt 0.3333 0.6667 0.7500  0.56
O 0.6673 0.6287 0.1358  0.15
O 0.9615 0.3327 0.1358  0.15
O 0.3327 0.9615 0.6358  0.15
O 0.0385 0.6673 0.8642  0.15
O 0.3713 0.3327 0.3642  0.15
O 0.9615 0.6287 0.3642  0.15
O 0.6287 0.9615 0.8642  0.15
O 0.6673 0.0385 0.3642  0.15
O 0.0385 0.3713 0.6358  0.15
O 0.3713 0.0385 0.1358  0.15
O 0.6287 0.6673 0.6358  0.15
O 0.3327 0.3713 0.8642  0.15

---

First-principles (GGA-PBE) data for a relaxed structure of Pm2ZnPtO6, as listed in Alexandria.

As for the uncorrected formation energy: -2.18 eV/atom. For the uncorrected energy, the calculation gives -6.834 eV per atom. The spin magnetization is 0.0 μB per cell.

abc: 5.4744 5.8527 7.8321
angles: 90.00 90.24 90.00
Fractional positions:
Pm 0.0214 0.9270 0.2507
Pm 0.5214 0.5730 0.7507
Pm 0.9786 0.0730 0.7493
Pm 0.4786 0.4270 0.2493
Zn 0.5000 0.0000 0.0000
Zn 0.0000 0.5000 0.5000
Pt 0.5000 0.0000 0.5000
Pt 0.0000 0.5000 0.0000
O 0.3058 0.6927 0.0548
O 0.8058 0.8073 0.5548
O 0.6942 0.3073 0.9452
O 0.1942 0.1927 0.4452
O 0.3155 0.7016 0.4426
O 0.8155 0.7984 0.9426
O 0.6845 0.2984 0.5574
O 0.1845 0.2016 0.0574
O 0.8876 0.5388 0.2477
O 0.3876 0.9612 0.7477
O 0.1124 0.4612 0.7523
O 0.6124 0.0388 0.2523

---

First-principles (GGA-PBE) data for a relaxed structure of PmZr2PtO8, as listed in Alexandria.

As for the uncorrected formation energy: -2.40 eV/atom. For the uncorrected energy, the calculation gives -8.034 eV per atom. The spin magnetization is 0.0 μB per cell.

abc: 4.9487 4.9462 6.6681
angles: 90.00 90.00 89.20
Fractional positions:
Pm 0.0000 0.0000 0.5000
Zr 0.5000 0.5000 0.7515
Zr 0.5000 0.5000 0.2485
Pt 0.0000 0.0000 0.0000
O 0.2011 0.7982 0.2158
O 0.7110 0.7118 0.0000
O 0.7989 0.2018 0.2158
O 0.7989 0.2018 0.7842
O 0.2890 0.2882 0.0000
O 0.2011 0.7982 0.7842
O 0.6781 0.6784 0.5000
O 0.3219 0.3216 0.5000